[1]
Material: Li2Be2GaPd5
Method: DFT, PBE
State: optimized geometry

- ΔE_f: -0.558 eV/atom
- Fermi-level density of states: 2.88 states/eV/f.u.

The structure in CIF format:
```
data_Li2Be2GaPd5
_chemical_formula_sum 'Li4 Be4 Ga2 Pd10'
_cell_length_a 9.718
_cell_length_b 9.718
_cell_length_c 2.952
_cell_angle_alpha 90.00
_cell_angle_beta 90.00
_cell_angle_gamma 90.00
_symmetry_space_group_name_H-M 'P 4/m b m'
_symmetry_Int_Tables_number 127
_symmetry_space_group_name_Hall '-P 4 2ab'
loop_
_atom_site_label
_atom_site_fract_x
_atom_site_fract_y
_atom_site_fract_z
Li1 0.174 0.326 0.000
Be1 0.127 0.627 0.000
Ga1 0.000 0.000 0.000
Pd1 0.000 0.500 0.500
Pd2 0.070 0.792 0.500
```



[2]
Material: KLaBe2
Method: DFT, PBE
State: optimized geometry

- Excess energy over the best structure of this formula in the dataset: 0.414 eV/atom
- ΔE_f: 0.795 eV/atom
- Fermi-level density of states: 1.82 states/eV/f.u.

The structure in CIF format:
```
data_KLaBe2
_chemical_formula_sum 'K4 La4 Be8'
_cell_length_a 7.352
_cell_length_b 7.352
_cell_length_c 7.352
_cell_angle_alpha 90.00
_cell_angle_beta 90.00
_cell_angle_gamma 90.00
_symmetry_space_group_name_H-M 'F m -3 m'
_symmetry_Int_Tables_number 225
_symmetry_space_group_name_Hall '-F 4 2 3'
loop_
_atom_site_label
_atom_site_fract_x
_atom_site_fract_y
_atom_site_fract_z
K1 0.000 0.000 0.000
La1 0.000 0.000 0.500
Be1 0.250 0.250 0.250
```